# Sb8Br2O11 | Alexandria | PBE | relaxed
# Total magnetization (μB per formula unit): 0.000
# Crystal system: triclinic
# Fermi-level density of states (states/eV/cell): 0.0
# Raw total energy (eV/atom): -5.594
# Raw formation energy (eV per atom): -1.267
data_Sb8Br2O11
_chemical_formula_sum 'Sb32 Br8 O44'
_cell_length_a 10.9049
_cell_length_b 11.5356
_cell_length_c 14.3076
_cell_angle_alpha 78.51
_cell_angle_beta 76.51
_cell_angle_gamma 72.75
_symmetry_space_group_name_H-M 'P -1'
_symmetry_Int_Tables_number 2
loop_
_symmetry_equiv_pos_as_xyz
'x,y,z'
'-x,-y,-z'
loop_
_atom_site_label
_atom_site_type_symbol
_atom_site_fract_x
_atom_site_fract_y
_atom_site_fract_z
_atom_site_occupancy
Sb1 Sb 0.0051 0.1207 0.1877 1
Sb2 Sb 0.0124 0.6017 0.0667 1
Sb3 Sb 0.0168 0.1144 0.5584 1
Sb4 Sb 0.0293 0.3496 0.3116 1
Sb5 Sb 0.1545 0.9196 0.0329 1
Sb6 Sb 0.1566 0.6462 0.3189 1
Sb7 Sb 0.1724 0.4085 0.5617 1
Sb8 Sb 0.1846 0.1651 0.7997 1
Sb9 Sb 0.2703 0.8780 0.6373 1
Sb10 Sb 0.2909 0.1268 0.3912 1
Sb11 Sb 0.3004 0.3622 0.1346 1
Sb12 Sb 0.3052 0.6277 0.8606 1
Sb13 Sb 0.3284 0.8987 0.2463 1
Sb14 Sb 0.3323 0.6406 0.4946 1
Sb15 Sb 0.3567 0.3869 0.7306 1
Sb16 Sb 0.3611 0.1460 0.9759 1
Br1 Br 0.4643 0.6770 0.0875 1
Br2 Br 0.4826 0.3963 0.3504 1
Br3 Br 0.4927 0.8747 0.8288 1
Br4 Br 0.4988 0.8647 0.4104 1
O1 O 0.0090 0.2588 0.8610 1
O2 O 0.0087 0.4968 0.3772 1
O3 O 0.0184 0.2378 0.6407 1
O4 O 0.0259 0.9723 0.9103 1
O5 O 0.0759 0.9690 0.6880 1
O6 O 0.0946 0.2274 0.4313 1
O7 O 0.1065 0.4713 0.1603 1
O8 O 0.1742 0.6338 0.9840 1
O9 O 0.1794 0.5920 0.4588 1
O10 O 0.1790 0.9534 0.1679 1
O11 O 0.1994 0.7819 0.7905 1
O12 O 0.2062 0.3270 0.7043 1
O13 O 0.2103 0.0732 0.9658 1
O14 O 0.2112 0.7697 0.5725 1
O15 O 0.2132 0.0388 0.5316 1
O16 O 0.2199 0.0330 0.3230 1
O17 O 0.2269 0.2966 0.2722 1
O18 O 0.2362 0.5126 0.8111 1
O19 O 0.2393 0.2651 0.0615 1
O20 O 0.2499 0.7705 0.3367 1
O21 O 0.2856 0.4993 0.6018 1
O22 O 0.3012 0.2401 0.8518 1



# Sb3BrO | Alexandria | PBE | relaxed
# Total magnetization (μB per formula unit): 0.000
# Crystal system: cubic
# Fermi-level density of states (states/eV/cell): 17.1
# Raw total energy (eV/atom): -2.306
# Raw formation energy (eV per atom): 1.494
data_Sb3BrO
_chemical_formula_sum 'Sb3 Br1 O1'
_cell_length_a 5.4639
_cell_length_b 5.4639
_cell_length_c 5.4639
_cell_angle_alpha 90.00
_cell_angle_beta 90.00
_cell_angle_gamma 90.00
_symmetry_space_group_name_H-M 'P m -3 m'
_symmetry_Int_Tables_number 221
_symmetry_space_group_name_Hall '-P 4 2 3'
loop_
_atom_site_label
_atom_site_type_symbol
_atom_site_fract_x
_atom_site_fract_y
_atom_site_fract_z
_atom_site_occupancy
Sb1 Sb 0.0000 0.0000 0.5000 1
Br1 Br 0.0000 0.0000 0.0000 1
O1 O 0.5000 0.5000 0.5000 1



# SbBrO2 | Alexandria | PBE | relaxed
# Total magnetization (μB per formula unit): 1.817
# Crystal system: cubic
# Fermi-level density of states (states/eV/cell): 11.9
# Raw total energy (eV/atom): -3.598
# Raw formation energy (eV per atom): 0.330
data_SbBrO2
_chemical_formula_sum 'Sb4 Br4 O8'
_cell_length_a 6.1649
_cell_length_b 6.1649
_cell_length_c 6.1649
_cell_angle_alpha 90.00
_cell_angle_beta 90.00
_cell_angle_gamma 90.00
_symmetry_space_group_name_H-M 'F m -3 m'
_symmetry_Int_Tables_number 225
_symmetry_space_group_name_Hall '-F 4 2 3'
loop_
_atom_site_label
_atom_site_type_symbol
_atom_site_fract_x
_atom_site_fract_y
_atom_site_fract_z
_atom_site_occupancy
Sb1 Sb 0.0000 0.0000 0.0000 1
Br1 Br 0.0000 0.0000 0.5000 1
O1 O 0.2500 0.2500 0.2500 1



# Sb2BrO4 | Alexandria | PBE | relaxed
# Total magnetization (μB per formula unit): 0.000
# Crystal system: triclinic
# Fermi-level density of states (states/eV/cell): 0.0
# Raw total energy (eV/atom): -5.290
# Raw formation energy (eV per atom): -1.040
data_Sb2BrO4
_chemical_formula_sum 'Sb4 Br2 O8'
_cell_length_a 6.2863
_cell_length_b 7.7487
_cell_length_c 7.9650
_cell_angle_alpha 88.02
_cell_angle_beta 74.13
_cell_angle_gamma 66.68
_symmetry_space_group_name_H-M 'P 1'
_symmetry_Int_Tables_number 1
loop_
_symmetry_equiv_pos_as_xyz
'x,y,z'
loop_
_atom_site_label
_atom_site_type_symbol
_atom_site_fract_x
_atom_site_fract_y
_atom_site_fract_z
_atom_site_occupancy
Sb1 Sb 0.0000 0.0000 0.0000 1
Sb2 Sb 0.0758 0.3825 0.9642 1
Sb3 Sb 0.4981 0.9996 0.9984 1
Sb4 Sb 0.6561 0.9406 0.3455 1
Br1 Br 0.0421 0.3763 0.4186 1
Br2 Br 0.9838 0.6106 0.6294 1
O1 O 0.1246 0.1623 0.1360 1
O2 O 0.3526 0.8658 0.8868 1
O3 O 0.4258 0.2226 0.8596 1
O4 O 0.5247 0.8338 0.1954 1
O5 O 0.6293 0.1333 0.1568 1
O6 O 0.8510 0.8855 0.8676 1
O7 O 0.9459 0.2254 0.8657 1
O8 O 0.9977 0.8362 0.1979 1



Fermi-level density of states of number 1 (Sb8Br2O11)? 0.0 states/eV/cell



Which value of total magnetization does entry 3 give? 1.817 μB per formula unit



Repeat the fourth record exactly.
# Sb2BrO4 | Alexandria | PBE | relaxed
# Total magnetization (μB per formula unit): 0.000
# Crystal system: triclinic
# Fermi-level density of states (states/eV/cell): 0.0
# Raw total energy (eV/atom): -5.290
# Raw formation energy (eV per atom): -1.040
data_Sb2BrO4
_chemical_formula_sum 'Sb4 Br2 O8'
_cell_length_a 6.2863
_cell_length_b 7.7487
_cell_length_c 7.9650
_cell_angle_alpha 88.02
_cell_angle_beta 74.13
_cell_angle_gamma 66.68
_symmetry_space_group_name_H-M 'P 1'
_symmetry_Int_Tables_number 1
loop_
_symmetry_equiv_pos_as_xyz
'x,y,z'
loop_
_atom_site_label
_atom_site_type_symbol
_atom_site_fract_x
_atom_site_fract_y
_atom_site_fract_z
_atom_site_occupancy
Sb1 Sb 0.0000 0.0000 0.0000 1
Sb2 Sb 0.0758 0.3825 0.9642 1
Sb3 Sb 0.4981 0.9996 0.9984 1
Sb4 Sb 0.6561 0.9406 0.3455 1
Br1 Br 0.0421 0.3763 0.4186 1
Br2 Br 0.9838 0.6106 0.6294 1
O1 O 0.1246 0.1623 0.1360 1
O2 O 0.3526 0.8658 0.8868 1
O3 O 0.4258 0.2226 0.8596 1
O4 O 0.5247 0.8338 0.1954 1
O5 O 0.6293 0.1333 0.1568 1
O6 O 0.8510 0.8855 0.8676 1
O7 O 0.9459 0.2254 0.8657 1
O8 O 0.9977 0.8362 0.1979 1



Look up the raw total energy of the second one. -2.306 eV/atom